# NdNiB GGA-PBE optimized geometry
data_NdNiB
_chemical_formula_sum 'Nd1 Ni1 B1'
_cell_length_a 3.6424
_cell_length_b 3.6424
_cell_length_c 4.1890
_cell_angle_alpha 90.00
_cell_angle_beta 90.00
_cell_angle_gamma 120.00
_symmetry_space_group_name_H-M 'P -6 m 2'
_symmetry_Int_Tables_number 187
_symmetry_space_group_name_Hall 'P -6 2'
loop_
_atom_site_label
_atom_site_type_symbol
_atom_site_fract_x
_atom_site_fract_y
_atom_site_fract_z
Nd1 Nd 0.0000 0.0000 0.0000
Ni1 Ni 0.6667 0.3333 0.5000
B1 B 0.3333 0.6667 0.5000
# Energy relative to the elements: -21.7 kJ per mole of atoms
# Density: 7.37 g/cm3